The following is a DFT calculation (PBE) of a relaxed SrHoVN3 crystal.

Summary:
energy relative to the elements, uncorrected: -1060 meV per atom
space-group type: C2/m
volume: 174.05 Å³ per cell
density of states at the Fermi level: 0.02 states/eV/f.u.

Cell lengths 6.833, 6.833, 7.220 Å; angles 104.70, 104.70, 32.36 degrees
Positions (direct):
Sr: 0.147 0.147 0.075
Sr: 0.853 0.853 0.925
Ho: 0.156 0.156 0.576
Ho: 0.844 0.844 0.424
V: 0.500 0.500 0.299
V: 0.500 0.500 0.701
N: 0.004 0.004 0.312
N: 0.342 0.342 0.656
N: 0.353 0.353 0.193
N: 0.647 0.647 0.807
N: 0.658 0.658 0.344
N: 0.996 0.996 0.688